The following is a GGA-PBE calculation of a relaxed Zn2FeOs crystal, from Alexandria.

Summary:
* N(E_F): 1.640 states/eV per atom
* excess energy over the best structure of this formula in the dataset: 0.723 eV per atom

a = 6.790 Å, b = 6.790 Å, c = 4.925 Å
α = 90.00°, β = 90.00°, γ = 90.00°
Space group I-42d (No. 122)
One atom of each set of equivalent atoms:
Zn (0.234, 0.250, 0.125)
Fe (0.000, 0.000, 0.000)
Os (0.000, 0.000, 0.500)



The following is a GGA-PBE calculation of a relaxed ErGaTe crystal, from Alexandria.

Summary:
* N(E_F): 0.862 states/eV per atom
* uncorrected formation energy: -0.64 eV per atom

a = 4.059 Å, b = 4.059 Å, c = 9.798 Å
α = 90.00°, β = 90.00°, γ = 90.00°
Space group P4/nmm (No. 129, origin choice 2)
One atom of each set of equivalent atoms:
Er (0.250, 0.250, 0.110)
Ga (0.250, 0.250, 0.481)
Te (0.250, 0.250, 0.790)



Look up the N(E_F) of the second one.
0.862 states/eV per atom



Which of these has the highest N(E_F)?
Zn2FeOs



N(E_F) of number 2 (ErGaTe)?
0.862 states/eV per atom



Which value of N(E_F) does entry 1 give?
1.640 states/eV per atom